Material: Ca3CdSn2
Method: DFT, PBE-GGA
State: relaxed

Cell: 5.505 16.735 3.699 Å, 90.00 90.00 90.00°
Space group Cmmm (No. 65)
Inequivalent atoms, fractional coordinates:
Ca1 0.000 0.000 0.000 [2 per cell]
Ca2 0.000 0.329 0.000 [4 per cell]
Cd1 0.000 0.500 0.500 [2 per cell]
Sn1 0.000 0.158 0.500 [4 per cell]

Output
E above lowest polymorph = 0 meV per atom
magnetization = 0.000 μB/atom
ΔH_f (0 K) = -0.5612 eV per atom

---

Material: CaCd11Sn
Method: DFT, PBE-GGA
State: relaxed

Cell: 6.159 14.297 7.760 Å, 90.00 112.83 90.00°
Space group C2/m (No. 12)
Inequivalent atoms, fractional coordinates:
Ca1 0.000 0.000 0.000 [2 per cell]
Cd1 0.000 0.500 0.500 [2 per cell]
Cd2 0.090 0.393 0.209 [8 per cell]
Cd3 0.182 0.179 0.350 [8 per cell]
Cd4 0.250 0.250 0.000 [4 per cell]
Sn1 0.000 0.000 0.500 [2 per cell]

Output
magnetization = 0.000 μB/atom
ΔH_f (0 K) = -0.0605 eV per atom

---

Material: Ca3Cd6Sn5
Method: DFT, PBE-GGA
State: relaxed

Cell: 4.648 13.805 11.602 Å, 90.00 90.00 90.00°
Space group Pmmn (No. 59, origin choice 2)
Inequivalent atoms, fractional coordinates:
Ca1 0.250 0.062 0.248 [4 per cell]
Ca2 0.250 0.750 0.245 [2 per cell]
Cd1 0.250 0.094 0.623 [4 per cell]
Cd2 0.250 0.250 0.046 [2 per cell]
Cd3 0.250 0.250 0.435 [2 per cell]
Cd4 0.250 0.601 0.975 [4 per cell]
Sn1 0.250 0.094 0.867 [4 per cell]
Sn2 0.250 0.607 0.529 [4 per cell]
Sn3 0.250 0.750 0.772 [2 per cell]

Output
magnetization = 0.000 μB/atom
ΔH_f (0 K) = -0.2955 eV per atom

---

Material: CaCd2Sn
Method: DFT, PBE-GGA
State: relaxed

Cell: 4.929 6.291 6.815 Å, 90.00 90.00 90.00°
Space group Pmmn (No. 59, origin choice 2)
Inequivalent atoms, fractional coordinates:
Ca1 0.250 0.250 0.088 [2 per cell]
Cd1 0.250 0.518 0.651 [4 per cell]
Sn1 0.250 0.750 0.242 [2 per cell]

Output
magnetization = 0.000 μB/atom
ΔH_f (0 K) = -0.3236 eV per atom